Below is a geometry-optimized LaCd2Si structure, with properties calculated at the PBE-GGA level.

Results
E_form (uncorrected): 215 meV/atom
Space-group type: R-3m (166)

Cell lengths 9.919, 9.919, 9.919 Å; angles 20.26, 20.26, 20.26 degrees
Atoms (fractional coordinates):
La 0.000 0.000 0.000
Cd 0.236 0.236 0.236
Cd 0.764 0.764 0.764
Si 0.500 0.500 0.500


Below is a geometry-optimized NaAc3Pb4 structure, with properties calculated at the PBE-GGA level.

Results
Polymorph energy (0 for the lowest one): 0.42 eV per formula unit
E_form: -0.34 eV/atom
Space-group type: Immm (71)

Cell lengths 10.751, 10.751, 10.751 Å; angles 158.98, 137.87, 47.54 degrees
Atoms (fractional coordinates):
Na 0.000 0.000 0.000
Ac 0.217 0.717 0.500
Ac 0.500 0.500 0.000
Ac 0.783 0.283 0.500
Pb 0.160 0.876 0.284
Pb 0.408 0.124 0.284
Pb 0.592 0.876 0.716
Pb 0.840 0.124 0.716


Below is a geometry-optimized Tb2Pm2Te5 structure, with properties calculated at the PBE-GGA level.

Results
E_form (uncorrected): -1223 meV/atom
Polymorph energy (0 for the lowest one): 0.99 eV per formula unit
Space-group type: Ima2 (46)

Cell lengths 10.877, 10.877, 10.877 Å; angles 63.19, 137.62, 135.42 degrees
Atoms (fractional coordinates):
Tb 0.000 0.000 0.000
Tb 0.000 0.500 0.500
Tb 0.209 0.987 0.722
Tb 0.264 0.487 0.278
Pm 0.593 0.204 0.591
Pm 0.593 0.502 0.888
Pm 0.613 0.002 0.409
Pm 0.613 0.704 0.112
Te 0.099 0.094 0.313
Te 0.099 0.286 0.505
Te 0.102 0.354 0.869
Te 0.102 0.733 0.247
Te 0.387 0.811 0.076
Te 0.485 0.233 0.131
Te 0.485 0.854 0.753
Te 0.734 0.311 0.924
Te 0.781 0.594 0.495
Te 0.781 0.786 0.687


Below is a geometry-optimized BaFeAs2Ru structure, with properties calculated at the PBE-GGA level.

Results
E_form: -0.59 eV/atom
Space-group type: I-4m2 (119)

Cell lengths 6.915, 6.915, 6.915 Å; angles 145.62, 145.62, 49.41 degrees
Atoms (fractional coordinates):
Ba 0.000 0.000 0.000
Fe 0.750 0.250 0.500
As 0.349 0.349 0.000
As 0.651 0.651 0.000
Ru 0.250 0.750 0.500


Below is a geometry-optimized Ce2Sc2Ge3 structure, with properties calculated at the PBE-GGA level.

Results
E_form: -0.54 eV/atom
Space-group type: C2/m (12)

Cell lengths 5.921, 5.921, 7.629 Å; angles 109.37, 109.37, 41.42 degrees
Atoms (fractional coordinates):
Ce 0.123 0.123 0.311
Ce 0.877 0.877 0.689
Sc 0.374 0.374 0.079
Sc 0.626 0.626 0.921
Ge 0.186 0.186 0.727
Ge 0.500 0.500 0.500
Ge 0.814 0.814 0.273


Below is a geometry-optimized PbIBr3 structure, with properties calculated at the PBE-GGA level.

Results
E_form (uncorrected): -205 meV/atom
Polymorph energy (0 for the lowest one): 0.00 eV per formula unit
Space-group type: Pm-3m (221)

Cell lengths 5.832, 5.832, 5.832 Å; angles 90.00, 90.00, 90.00 degrees
Atoms (fractional coordinates):
Pb 0.000 0.000 0.000
I 0.500 0.500 0.500
Br 0.000 0.000 0.500
Br 0.000 0.500 0.000
Br 0.500 0.000 0.000


Below is a geometry-optimized Pr4PuAs5 structure, with properties calculated at the PBE-GGA level.

Results
E_form: -1.39 eV/atom
Space-group type: I4/m (87)

Cell lengths 7.405, 7.405, 7.405 Å; angles 99.59, 99.59, 131.81 degrees
Atoms (fractional coordinates):
Pr 0.098 0.301 0.399
Pr 0.301 0.902 0.202
Pr 0.699 0.098 0.798
Pr 0.902 0.699 0.601
Pu 0.500 0.500 0.000
As 0.000 0.000 0.000
As 0.207 0.597 0.804
As 0.403 0.207 0.610
As 0.597 0.793 0.390
As 0.793 0.403 0.196


Below is a geometry-optimized Cs8HgO2F structure, with properties calculated at the PBE-GGA level.

Results
E_form (uncorrected): -928 meV/atom
Space-group type: P-3m1 (164)

Cell lengths 8.838, 8.838, 10.682 Å; angles 90.00, 90.00, 120.00 degrees
Atoms (fractional coordinates):
Cs 0.166 0.332 0.316
Cs 0.166 0.834 0.316
Cs 0.332 0.166 0.684
Cs 0.333 0.667 0.992
Cs 0.667 0.333 0.008
Cs 0.668 0.834 0.316
Cs 0.834 0.166 0.684
Cs 0.834 0.668 0.684
Hg 0.000 0.000 0.000
O 0.333 0.667 0.240
O 0.667 0.333 0.760
F 0.000 0.000 0.500


Per-record volume, Å³/atom: 25.60; 37.27; 33.39; 20.99; 23.64; 39.67; 27.62; 60.22